Entry 1:
{
  "formula": "Sm3MgBiRu4O14",
  "functional": "PBE",
  "state": "optimized geometry",
  "raw_formation_energy_kj_per_mol_atoms": -173.81,
  "dft_energy_ev_per_atom": -7.2863,
  "sg": "R3m",
  "e_above_lowest_polymorph_ev_per_atom": 0.034,
  "lattice": [[-4.2271, 4.2357, -4.3913], [-6.9669, -2.1235, -1.4302], [-5.6162, 3.8159, 2.9985]],
  "species": ["O", "O", "O", "Ru", "Sm", "O", "Ru", "Sm", "Ru", "O", "O", "Mg", "O", "O", "Sm", "O", "O", "O", "Bi", "O", "O", "O", "Ru"],
  "frac_coords": [[0.2072, 0.7945, 0.7945], [0.8022, 0.1971, 0.1971], [0.1971, 0.1971, 0.8022], [0.6422, 0.1158, 0.1158], [0.6448, 0.1192, 0.6448], [0.0329, 0.4678, 0.0329], [0.1158, 0.1158, 0.6422], [0.1192, 0.6448, 0.6448], [0.1191, 0.1191, 0.1191], [0.7945, 0.2072, 0.7945], [0.0329, 0.0329, 0.4678], [0.3579, 0.3579, 0.3579], [0.4653, 0.0361, 0.4653], [0.4653, 0.4653, 0.0361], [0.6448, 0.6448, 0.1192], [0.4704, 0.4704, 0.4704], [0.1971, 0.8022, 0.1971], [0.4678, 0.0329, 0.0329], [0.6294, 0.6294, 0.6294], [0.7487, 0.7487, 0.7487], [0.0361, 0.4653, 0.4653], [0.7945, 0.7945, 0.2072], [0.1158, 0.6422, 0.1158]]
}

***

Entry 2:
{
  "formula": "Tb3PdPb",
  "functional": "PBE",
  "state": "optimized geometry",
  "dft_energy_ev_per_atom": -4.9510,
  "ef_ev_per_atom": -0.3926,
  "sg": "Imma",
  "lattice": [[5.6748, 0.0000, 0.0006], [0.0000, 5.2799, 0.0000], [-2.8376, -2.6399, 9.6619]],
  "species": ["Tb", "Pd", "Tb", "Tb", "Tb", "Pb", "Pd", "Tb", "Tb", "Pb"],
  "frac_coords": [[0.0855, 0.8358, 0.6717], [0.4453, 0.1950, 0.3900], [0.4099, 0.6593, 0.3187], [0.7103, 0.9600, 0.9200], [0.2897, 0.0400, 0.0800], [0.8130, 0.5628, 0.1255], [0.5547, 0.8050, 0.6100], [0.5901, 0.3407, 0.6813], [0.9145, 0.1642, 0.3283], [0.1870, 0.4372, 0.8745]]
}

***

Entry 3:
{
  "formula": "InHRh3",
  "functional": "PBE",
  "state": "optimized geometry",
  "dft_energy_ev_per_atom": -5.7532,
  "sg": "P1",
  "e_above_lowest_polymorph_ev_per_atom": 0.079,
  "lattice": [[5.6593, 0.0018, 0.0223], [-1.2100, 4.6827, -0.0021], [2.5627, -0.7624, 4.9427]],
  "species": ["Rh", "Rh", "Rh", "In", "H", "Rh", "In", "Rh", "H", "Rh"],
  "frac_coords": [[0.3994, 0.8813, 0.5277], [0.6236, 0.3859, 0.2951], [0.9060, 0.8875, 0.0244], [0.4014, 0.8770, 0.0251], [0.8240, 0.1734, 0.3139], [0.1724, 0.3762, 0.7563], [0.9049, 0.8699, 0.5302], [0.6436, 0.3704, 0.7734], [0.8489, 0.5005, 0.9626], [0.1547, 0.3829, 0.2725]]
}

***

Entry 4:
{
  "formula": "KNbSeBr2",
  "functional": "PBE",
  "state": "optimized geometry",
  "raw_formation_energy_kj_per_mol_atoms": 71.34,
  "dft_energy_ev_per_atom": -2.8601,
  "sg": "P4/mmm",
  "e_above_lowest_polymorph_ev_per_atom": 1.599,
  "lattice": [[-3.6694, -3.5357, -2.4326], [3.8512, -1.3004, -3.9192], [1.9307, -4.2880, 3.3200]],
  "species": ["Se", "K", "Br", "Nb", "Br"],
  "frac_coords": [[0.0000, 0.0000, 0.5000], [0.0000, 0.0000, 0.0000], [0.0000, 0.5000, 0.0000], [0.5000, 0.5000, 0.5000], [0.5000, 0.0000, 0.0000]]
}

***

Entry 5:
{
  "formula": "LaHfAsBr2",
  "functional": "PBE",
  "state": "optimized geometry",
  "raw_formation_energy_kj_per_mol_atoms": 31.60,
  "dft_energy_ev_per_atom": -4.2477,
  "sg": "P4/mmm",
  "e_above_lowest_polymorph_ev_per_atom": 1.039,
  "lattice": [[5.4116, 0.0000, 0.0000], [0.0000, 7.2675, 0.0000], [0.0000, 0.0000, 5.4116]],
  "species": ["As", "Br", "La", "Br", "Hf"],
  "frac_coords": [[0.5000, 0.5000, 0.5000], [0.0000, 0.0000, 0.5000], [0.0000, 0.0000, 0.0000], [0.5000, 0.0000, 0.0000], [0.0000, 0.5000, 0.0000]]
}